A plane-wave DFT calculation with PBE was carried out for a relaxed structure of NaBi3Pb3.

Values from the calculation:
Electronic total energy in eV per atom: -3.47
Formation energy from the elements in eV per atom: -0.033

Unit cell a=9.1180 b=9.1180 c=21.5176 alpha=90.00 beta=90.00 gamma=120.00
Space group R-3 (No. 148, hexagonal axes)
Asymmetric unit:
1 Na 0.0000 0.0000 0.1670
2 Bi 0.0011 0.3276 0.5659
3 Pb 0.0002 0.3373 0.3837

---

A plane-wave DFT calculation with PBE was carried out for a relaxed structure of NaBiPb6.

Values from the calculation:
Electronic total energy in eV per atom: -3.46
Formation energy from the elements in eV per atom: -0.026

Unit cell a=5.940 b=5.940 c=7.152 alpha=90.00 beta=90.00 gamma=90.00
Space group P4/mmm (No. 123)
Asymmetric unit:
1 Na 0.000 0.000 0.000
2 Bi 0.000 0.000 0.500
3 Pb 0.000 0.500 0.263
4 Pb 0.500 0.500 0.000
5 Pb 0.500 0.500 0.500

---

A plane-wave DFT calculation with PBE was carried out for a relaxed structure of Na2Bi3Pb4.

Values from the calculation:
Electronic total energy in eV per atom: -3.32
Formation energy from the elements in eV per atom: -0.089

Unit cell a=15.868 b=11.869 c=6.034 alpha=90.00 beta=98.68 gamma=90.00
Space group C2/c (No. 15)
Asymmetric unit:
1 Na 0.106 0.122 0.306
2 Bi 0.000 0.133 0.750
3 Bi 0.177 0.364 0.577
4 Pb 0.051 0.375 0.020
5 Pb 0.226 0.120 0.866

---

A plane-wave DFT calculation with PBE was carried out for a relaxed structure of NaBi2Pb4.

Values from the calculation:
Electronic total energy in eV per atom: -3.31
Formation energy from the elements in eV per atom: 0.103

Unit cell a=6.007 b=6.007 c=13.355 alpha=90.00 beta=90.00 gamma=90.00
Space group I4/mmm (No. 139)
Asymmetric unit:
1 Na 0.000 0.000 0.000
2 Bi 0.000 0.000 0.358
3 Pb 0.000 0.500 0.000
4 Pb 0.000 0.500 0.250

---

A plane-wave DFT calculation with PBE was carried out for a relaxed structure of NaBi6Pb8.

Values from the calculation:
Electronic total energy in eV per atom: -3.63
Formation energy from the elements in eV per atom: -0.013

Unit cell a=9.3012 b=9.3012 c=21.6968 alpha=90.00 beta=90.00 gamma=120.00
Space group R-3 (No. 148, hexagonal axes)
Asymmetric unit:
1 Na 0.0000 0.0000 0.0000
2 Bi 0.0028 0.3432 0.9308
3 Pb 0.0000 0.0000 0.3348
4 Pb 0.0026 0.3289 0.1147

---

A plane-wave DFT calculation with PBE was carried out for a relaxed structure of Na3BiPb4.

Values from the calculation:
Electronic total energy in eV per atom: -2.86
Formation energy from the elements in eV per atom: -0.025

Unit cell a=27.800 b=3.461 c=5.543 alpha=90.00 beta=100.58 gamma=90.00
Space group C2/m (No. 12)
Asymmetric unit:
1 Na 0.000 0.000 0.000
2 Na 0.161 0.000 0.177
3 Bi 0.000 0.500 0.500
4 Pb 0.105 0.000 0.628
5 Pb 0.220 0.500 0.723

---

A plane-wave DFT calculation with PBE was carried out for a relaxed structure of Na2Bi5Pb4.

Values from the calculation:
Electronic total energy in eV per atom: -3.41
Formation energy from the elements in eV per atom: -0.053

Unit cell a=10.890 b=7.064 c=9.220 alpha=90.00 beta=90.65 gamma=90.00
Space group C2/m (No. 12)
Asymmetric unit:
1 Na 0.131 0.000 0.361
2 Bi 0.000 0.000 0.000
3 Bi 0.119 0.245 0.717
4 Pb 0.130 0.500 0.385
5 Pb 0.192 0.500 0.016

---

A plane-wave DFT calculation with PBE was carried out for a relaxed structure of Na2BiPb4.

Values from the calculation:
Electronic total energy in eV per atom: -2.67
Formation energy from the elements in eV per atom: 0.380

Unit cell a=6.052 b=6.052 c=15.892 alpha=90.00 beta=90.00 gamma=90.00
Space group I4/mmm (No. 139)
Asymmetric unit:
1 Na 0.000 0.000 0.109
2 Bi 0.000 0.000 0.500
3 Pb 0.000 0.000 0.310
4 Pb 0.000 0.500 0.000

---

A plane-wave DFT calculation with PBE was carried out for a relaxed structure of Na3BiPb.

Values from the calculation:
Electronic total energy in eV per atom: -2.16
Formation energy from the elements in eV per atom: 0.148

Unit cell a=5.866 b=5.866 c=5.866 alpha=90.00 beta=90.00 gamma=90.00
Space group Pm-3m (No. 221)
Asymmetric unit:
1 Na 0.000 0.000 0.500
2 Bi 0.000 0.000 0.000
3 Pb 0.500 0.500 0.500

---

A plane-wave DFT calculation with PBE was carried out for a relaxed structure of NaBi3Pb3.

Values from the calculation:
Electronic total energy in eV per atom: -3.45
Formation energy from the elements in eV per atom: -0.007

Unit cell a=7.785 b=8.523 c=8.781 alpha=63.75 beta=72.14 gamma=71.49
Space group P-1 (No. 2)
Asymmetric unit:
1 Na 0.093 0.364 0.327
2 Bi 0.205 0.262 0.937
3 Bi 0.210 0.885 0.552
4 Bi 0.307 0.620 0.939
5 Pb 0.051 0.888 0.200
6 Pb 0.422 0.600 0.322
7 Pb 0.497 0.962 0.799

---

A plane-wave DFT calculation with PBE was carried out for a relaxed structure of NaBi2Pb8.

Values from the calculation:
Electronic total energy in eV per atom: -3.54
Formation energy from the elements in eV per atom: -0.016

Unit cell a=15.306 b=6.007 c=9.137 alpha=90.00 beta=124.43 gamma=90.00
Space group C2/m (No. 12)
Asymmetric unit:
1 Na 0.000 0.000 0.000
2 Bi 0.237 0.500 0.821
3 Pb 0.045 0.500 0.362
4 Pb 0.094 0.000 0.732
5 Pb 0.143 0.500 0.096
6 Pb 0.182 0.000 0.450

---

A plane-wave DFT calculation with PBE was carried out for a relaxed structure of Na2Bi2Pb15.

Values from the calculation:
Electronic total energy in eV per atom: -3.38
Formation energy from the elements in eV per atom: 0.092

Unit cell a=10.6715 b=10.6715 c=19.4236 alpha=90.00 beta=90.00 gamma=120.00
Space group R-3m (No. 166, hexagonal axes)
Asymmetric unit:
1 Na 0.0000 0.0000 0.0996
2 Bi 0.0000 0.0000 0.3653
3 Pb 0.0000 0.3037 0.0000
4 Pb 0.0000 0.5000 0.5000
5 Pb 0.0318 0.5159 0.1254

---

A plane-wave DFT calculation with PBE was carried out for a relaxed structure of Na2Bi3Pd4Pb.

Values from the calculation:
Electronic total energy in eV per atom: -4.13
Formation energy from the elements in eV per atom: -0.255

Unit cell a=4.870 b=4.870 c=10.842 alpha=90.00 beta=90.00 gamma=90.00
Space group P-4m2 (No. 115)
Asymmetric unit:
1 Na 0.000 0.500 0.227
2 Bi 0.000 0.500 0.879
3 Bi 0.500 0.500 0.500
4 Pd 0.000 0.000 0.000
5 Pd 0.000 0.500 0.630
6 Pd 0.500 0.500 0.000
7 Pb 0.000 0.000 0.500

---

A plane-wave DFT calculation with PBE was carried out for a relaxed structure of Na3Bi2Pd2Pb4.

Values from the calculation:
Electronic total energy in eV per atom: -3.51
Formation energy from the elements in eV per atom: -0.147

Unit cell a=5.3233 b=5.3233 c=12.6756 alpha=90.00 beta=90.00 gamma=120.00
Space group P-3m1 (No. 164)
Asymmetric unit:
1 Na 0.0000 0.0000 0.0000
2 Na 0.0000 0.0000 0.3495
3 Bi 0.3333 0.6667 0.1237
4 Pd 0.3333 0.6667 0.5892
5 Pb 0.3333 0.6667 0.3754
6 Pb 0.3333 0.6667 0.8093

---

A plane-wave DFT calculation with PBE was carried out for a relaxed structure of Na2Bi2Pd2Pb.

Values from the calculation:
Electronic total energy in eV per atom: -3.54
Formation energy from the elements in eV per atom: -0.041

Unit cell a=5.200 b=5.200 c=16.189 alpha=90.00 beta=90.00 gamma=90.00
Space group I4/mmm (No. 139)
Asymmetric unit:
1 Na 0.000 0.000 0.194
2 Bi 0.000 0.000 0.400
3 Pd 0.000 0.500 0.000
4 Pb 0.000 0.000 0.000

---

A plane-wave DFT calculation with PBE was carried out for a relaxed structure of NaBiPd2Pb4.

Values from the calculation:
Electronic total energy in eV per atom: -3.83
Formation energy from the elements in eV per atom: -0.027

Unit cell a=4.643 b=4.643 c=10.890 alpha=90.00 beta=90.00 gamma=90.00
Space group P4/mmm (No. 123)
Asymmetric unit:
1 Na 0.000 0.000 0.000
2 Bi 0.000 0.000 0.500
3 Pd 0.500 0.500 0.380
4 Pb 0.000 0.500 0.235

---

A plane-wave DFT calculation with PBE was carried out for a relaxed structure of NaPmBiPb.

Values from the calculation:
Electronic total energy in eV per atom: -3.75
Formation energy from the elements in eV per atom: -0.337

Unit cell a=7.834 b=7.834 c=7.834 alpha=90.00 beta=90.00 gamma=90.00
Space group F-43m (No. 216)
Asymmetric unit:
1 Na 0.000 0.000 0.000
2 Pm 0.000 0.000 0.500
3 Bi 0.250 0.250 0.250
4 Pb 0.250 0.250 0.750

---

A plane-wave DFT calculation with PBE was carried out for a relaxed structure of NaPrBiPb.

Values from the calculation:
Electronic total energy in eV per atom: -3.77
Formation energy from the elements in eV per atom: -0.349

Unit cell a=7.892 b=7.892 c=7.892 alpha=90.00 beta=90.00 gamma=90.00
Space group F-43m (No. 216)
Asymmetric unit:
1 Na 0.000 0.000 0.000
2 Pr 0.000 0.000 0.500
3 Bi 0.250 0.250 0.750
4 Pb 0.250 0.250 0.250

---

A plane-wave DFT calculation with PBE was carried out for a relaxed structure of Na2PrBi2Pb.

Values from the calculation:
Electronic total energy in eV per atom: -3.56
Formation energy from the elements in eV per atom: -0.411

Unit cell a=4.610 b=10.199 c=8.366 alpha=90.00 beta=90.00 gamma=90.00
Space group Pmc2_1 (No. 26)
Asymmetric unit:
1 Na 0.000 0.067 0.000
2 Na 0.500 0.197 0.271
3 Pr 0.500 0.417 0.845
4 Bi 0.000 0.418 0.141
5 Bi 0.500 0.118 0.729
6 Pb 0.000 0.278 0.536

---

A plane-wave DFT calculation with PBE was carried out for a relaxed structure of Na2PuBi2Pb.

Values from the calculation:
Electronic total energy in eV per atom: -4.96
Formation energy from the elements in eV per atom: -0.223

Unit cell a=5.479 b=9.668 c=6.811 alpha=90.00 beta=90.00 gamma=90.00
Space group Pmc2_1 (No. 26)
Asymmetric unit:
1 Na 0.000 0.000 0.000
2 Na 0.500 0.155 0.250
3 Pu 0.500 0.500 0.499
4 Bi 0.000 0.331 0.249
5 Bi 0.500 0.178 0.751
6 Pb 0.000 0.334 0.747

---

Number 1: density of states at the Fermi level 21.67 states/eV per cell. Number 2: density of states at the Fermi level 4.33 states/eV per cell. Number 3: density of states at the Fermi level 17.75 states/eV per cell. Number 4: density of states at the Fermi level 7.90 states/eV per cell. Number 5: density of states at the Fermi level 11.19 states/eV per cell. Number 6: density of states at the Fermi level 8.82 states/eV per cell. Number 7: density of states at the Fermi level 10.41 states/eV per cell. Number 8: density of states at the Fermi level 9.01 states/eV per cell. Number 9: density of states at the Fermi level 4.15 states/eV per cell. Number 10: density of states at the Fermi level 5.12 states/eV per cell. Number 11: density of states at the Fermi level 10.21 states/eV per cell. Number 12: density of states at the Fermi level 35.47 states/eV per cell. Number 13: density of states at the Fermi level 4.74 states/eV per cell. Number 14: density of states at the Fermi level 4.37 states/eV per cell. Number 15: density of states at the Fermi level 8.34 states/eV per cell. Number 16: density of states at the Fermi level 4.19 states/eV per cell. Number 17: density of states at the Fermi level 15.29 states/eV per cell. Number 18: density of states at the Fermi level 15.22 states/eV per cell. Number 19: density of states at the Fermi level 4.70 states/eV per cell. Number 20: density of states at the Fermi level 23.78 states/eV per cell.